Entry 1:
DFT (PBE) results for a relaxed Mn2TlCr crystal.

abc: 8.610 8.610 8.610
angles: 20.34 20.34 20.34
Each line ends with the local moment (μB).
Fractional coordinates of all 4 atoms:
Cr  0.736  0.736  0.736  2.80
Mn  0.002  0.002  0.002  -2.56
Mn  0.263  0.263  0.263  3.49
Tl  0.499  0.499  0.499  -0.05

Mass density   9.01 Mg/m³
Symmetry   R3m
M_tot   3.9 μB per formula unit
DFT formation energy   0.575 eV per atom

=====

Entry 2:
DFT (PBE) results for a relaxed Li6Cd12Pd crystal.

abc: 7.188 7.188 7.188
angles: 90.17 90.17 90.17
Fractional coordinates of all 19 atoms:
Li  0.735  0.890  0.261
Li  0.739  0.265  0.110
Li  0.110  0.739  0.265
Li  0.265  0.110  0.739
Li  0.261  0.735  0.890
Li  0.890  0.261  0.735
Cd  0.803  0.529  0.436
Cd  0.436  0.803  0.529
Cd  0.529  0.436  0.803
Cd  0.197  0.471  0.564
Cd  0.564  0.197  0.471
Cd  0.471  0.564  0.197
Cd  0.027  0.152  0.368
Cd  0.848  0.632  0.973
Cd  0.632  0.973  0.848
Cd  0.973  0.848  0.632
Cd  0.152  0.368  0.027
Cd  0.368  0.027  0.152
Pd  0.000  0.000  0.000

Mass density   6.69 Mg/m³
Symmetry   R-3
M_tot   0.0 μB per formula unit
DFT formation energy   -0.228 eV per atom

=====

Entry 3:
DFT (PBE) results for a relaxed KSmHo2 crystal.

abc: 3.590 3.590 13.400
angles: 82.30 82.30 60.00
Fractional coordinates of all 4 atoms:
K  0.000  0.000  0.000
Ho  0.095  0.095  0.715
Ho  0.905  0.905  0.285
Sm  0.500  0.500  0.500

Mass density   5.84 Mg/m³
Symmetry   R-3m
M_tot   0.0 μB per formula unit
DFT formation energy   0.256 eV per atom

=====

Entry 4:
DFT (PBE) results for a relaxed Sc3Br2 crystal.

abc: 9.132 7.699 6.403
angles: 80.14 56.17 43.70
Fractional coordinates of all 10 atoms:
Sc  0.660  0.701  0.048
Sc  0.590  0.048  0.701
Sc  0.202  0.660  0.590
Sc  0.549  0.590  0.660
Sc  0.106  0.394  0.394
Sc  0.856  0.144  0.144
Br  0.526  0.331  0.025
Br  0.118  0.025  0.331
Br  0.225  0.132  0.724
Br  0.919  0.724  0.132

Mass density   4.14 Mg/m³
Raw formation energy   -0.5230 eV/atom
Symmetry   Fdd2
M_tot   0.0 μB per formula unit